Entry 1:
Material: AgOs2Au
Method: DFT, PBE
State: optimized geometry Values from VASP.

Quantum ESPRESSO input file:
```
&SYSTEM
  ibrav = 0, nat = 4, ntyp = 3
/
ATOMIC_SPECIES
Os 190.23 Os.upf
Ag 107.87 Ag.upf
Au 196.97 Au.upf
ATOMIC_POSITIONS crystal
Os 0.750 0.750 0.750
Ag 0.500 0.500 0.500
Os 0.000 0.000 0.000
Au 0.250 0.250 0.250
CELL_PARAMETERS angstrom
-1.678 -1.271 3.968
-4.092 1.368 1.250
-3.396 -2.935 0.166
```

Mass density in g/cm3: 17.755
Energy relative to the elements in eV/atom: 0.879
M_tot in μB per cell: 0.00
Symmetry: F-43m (216)

=====

Entry 2:
Material: AgOsAu2
Method: DFT, PBE
State: optimized geometry Values from VASP.

Quantum ESPRESSO input file:
```
&SYSTEM
  ibrav = 0, nat = 4, ntyp = 3
/
ATOMIC_SPECIES
Au 196.97 Au.upf
Ag 107.87 Ag.upf
Os 190.23 Os.upf
ATOMIC_POSITIONS crystal
Au 0.500 0.500 0.500
Au 0.250 0.250 0.250
Ag 0.750 0.750 0.750
Os 0.000 0.000 0.000
CELL_PARAMETERS angstrom
0.000 3.250 3.250
3.250 0.000 3.250
3.250 3.250 0.000
```

Mass density in g/cm3: 16.745
Energy relative to the elements in eV/atom: 0.735
M_tot in μB per cell: 2.00
Symmetry: F-43m (216)

=====

Entry 3:
Material: AgPAu3
Method: DFT, PBE
State: optimized geometry Values from VASP.

Quantum ESPRESSO input file:
```
&SYSTEM
  ibrav = 0, nat = 5, ntyp = 3
/
ATOMIC_SPECIES
Au 196.97 Au.upf
P 30.97 P.upf
Ag 107.87 Ag.upf
ATOMIC_POSITIONS crystal
Au 0.500 0.000 0.500
P 0.500 0.500 0.500
Ag 0.000 0.000 0.000
Au 0.500 0.500 0.000
Au 0.000 0.500 0.500
CELL_PARAMETERS angstrom
-4.669 -0.680 -0.380
0.132 -2.967 3.686
-0.768 3.625 2.946
```

Mass density in g/cm3: 11.424
Electronic total energy in eV per cell: -16.7
Symmetry: Pm-3m (221)

=====

Entry 4:
Material: AgP5Au3
Method: DFT, PBE
State: optimized geometry Values from VASP.

Quantum ESPRESSO input file:
```
&SYSTEM
  ibrav = 0, nat = 9, ntyp = 3
/
ATOMIC_SPECIES
P 30.97 P.upf
Au 196.97 Au.upf
Ag 107.87 Ag.upf
ATOMIC_POSITIONS crystal
P 0.667 0.333 0.774
Au 0.000 0.500 0.500
P 0.667 0.333 0.226
P 0.333 0.667 0.226
Au 0.500 0.000 0.500
P 0.333 0.667 0.774
P 0.000 0.000 0.500
Ag 0.000 0.000 0.000
Au 0.500 0.500 0.500
CELL_PARAMETERS angstrom
-1.966 6.532 -1.984
1.642 -4.861 -4.913
-4.567 -1.413 -0.128
```

Mass density in g/cm3: 6.783
Electronic total energy in eV per cell: -36.6
Symmetry: P6/mmm (191)

=====

Entry 5:
Material: Rb4AgP2Au
Method: DFT, PBE
State: optimized geometry Values from VASP.

Quantum ESPRESSO input file:
```
&SYSTEM
  ibrav = 0, nat = 8, ntyp = 4
/
ATOMIC_SPECIES
Rb 85.47 Rb.upf
P 30.97 P.upf
Ag 107.87 Ag.upf
Au 196.97 Au.upf
ATOMIC_POSITIONS crystal
Rb 0.684 0.027 0.253
P 0.260 0.260 0.253
Rb 0.316 0.973 0.747
Rb 0.027 0.684 0.253
P 0.740 0.740 0.747
Ag 0.500 0.500 0.000
Rb 0.973 0.316 0.747
Au 0.500 0.500 0.500
CELL_PARAMETERS angstrom
-0.331 1.733 -6.239
-5.242 2.484 2.897
3.267 5.312 1.319
```

Mass density in g/cm3: 4.583
Electronic total energy in eV per cell: -23.8
Symmetry: C2/m (12)

=====

Entry 6:
Material: AgPbAu
Method: DFT, PBE
State: optimized geometry Values from VASP.

Quantum ESPRESSO input file:
```
&SYSTEM
  ibrav = 0, nat = 3, ntyp = 3
/
ATOMIC_SPECIES
Au 196.97 Au.upf
Pb 207.20 Pb.upf
Ag 107.87 Ag.upf
ATOMIC_POSITIONS crystal
Au 0.000 0.000 0.000
Pb 0.750 0.750 0.750
Ag 0.250 0.250 0.250
CELL_PARAMETERS angstrom
0.000 3.335 3.335
3.335 0.000 3.335
3.335 3.335 0.000
```

Mass density in g/cm3: 11.459
Energy above the most stable polymorph in this dataset in meV/atom: 0.0
Symmetry: F-43m (216)

=====

Entry 7:
Material: AgPb2Au
Method: DFT, PBE
State: optimized geometry Values from VASP.

Quantum ESPRESSO input file:
```
&SYSTEM
  ibrav = 0, nat = 4, ntyp = 3
/
ATOMIC_SPECIES
Pb 207.20 Pb.upf
Ag 107.87 Ag.upf
Au 196.97 Au.upf
ATOMIC_POSITIONS crystal
Pb 0.750 0.750 0.750
Pb 0.000 0.000 0.000
Ag 0.500 0.500 0.500
Au 0.250 0.250 0.250
CELL_PARAMETERS angstrom
0.000 3.655 3.655
3.655 0.000 3.655
3.655 3.655 0.000
```

Mass density in g/cm3: 12.234
Electronic total energy in eV per cell: -12.9
Symmetry: F-43m (216)

=====

Entry 8:
Material: Ag2PbAu
Method: DFT, PBE
State: optimized geometry Values from VASP.

Quantum ESPRESSO input file:
```
&SYSTEM
  ibrav = 0, nat = 4, ntyp = 3
/
ATOMIC_SPECIES
Ag 107.87 Ag.upf
Au 196.97 Au.upf
Pb 207.20 Pb.upf
ATOMIC_POSITIONS crystal
Ag 0.000 0.000 0.000
Ag 0.750 0.750 0.750
Au 0.250 0.250 0.250
Pb 0.500 0.500 0.500
CELL_PARAMETERS angstrom
2.594 -4.049 -0.856
-1.495 -3.189 -3.384
2.485 -0.471 -4.178
```

Mass density in g/cm3: 12.493
Electronic total energy in eV per cell: -12.5
Symmetry: F-43m (216)

=====

Entry 9:
Material: AgPbAuS3
Method: DFT, PBE
State: optimized geometry Values from VASP.

Quantum ESPRESSO input file:
```
&SYSTEM
  ibrav = 0, nat = 12, ntyp = 4
/
ATOMIC_SPECIES
S 32.06 S.upf
Ag 107.87 Ag.upf
Au 196.97 Au.upf
Pb 207.20 Pb.upf
ATOMIC_POSITIONS crystal
S 0.123 0.877 0.021
Ag 0.133 0.867 0.250
S 0.123 0.877 0.479
Au 0.500 0.500 0.000
Ag 0.867 0.133 0.750
S 0.877 0.123 0.979
S 0.877 0.123 0.521
Au 0.500 0.500 0.500
Pb 0.819 0.181 0.250
Pb 0.181 0.819 0.750
S 0.533 0.467 0.750
S 0.467 0.533 0.250
CELL_PARAMETERS angstrom
1.910 -6.627 0.000
1.910 6.627 0.000
0.000 0.000 10.700
```

Mass density in g/cm3: 7.458
Electronic total energy in eV per cell: -44.8
Symmetry: Cmcm (63)

=====

Entry 10:
Material: Sc2AgPb2Au
Method: DFT, PBE
State: optimized geometry Values from VASP.

Quantum ESPRESSO input file:
```
&SYSTEM
  ibrav = 0, nat = 24, ntyp = 4
/
ATOMIC_SPECIES
Au 196.97 Au.upf
Pb 207.20 Pb.upf
Sc 44.96 Sc.upf
Ag 107.87 Ag.upf
ATOMIC_POSITIONS crystal
Au 0.250 0.000 0.251
Pb 0.558 0.500 0.686
Pb 0.313 0.000 0.439
Sc 0.930 0.500 0.810
Pb 0.563 0.000 0.188
Sc 0.938 0.000 0.311
Sc 0.186 0.500 0.562
Ag 0.250 0.500 0.751
Sc 0.682 0.500 0.062
Sc 0.444 0.000 0.815
Pb 0.308 0.500 0.936
Pb 0.817 0.000 0.939
Au 0.750 0.000 0.750
Sc 0.690 0.000 0.565
Ag 0.500 0.500 0.499
Sc 0.436 0.500 0.311
Pb 0.061 0.500 0.186
Ag 0.999 0.000 0.499
Pb 0.066 0.000 0.687
Ag 0.000 0.500 0.000
Pb 0.813 0.500 0.439
Sc 0.194 0.000 0.064
Au 0.501 0.000 0.000
Au 0.750 0.500 0.250
CELL_PARAMETERS angstrom
-2.937 3.832 6.541
1.384 -3.568 2.712
14.530 5.568 -0.090
```

Mass density in g/cm3: 9.197
M_tot in μB per cell: 0.00
Electronic total energy in eV per cell: -114.2
Symmetry: Pm (6)

=====

Entry 11:
Material: Y2AgPb2Au
Method: DFT, PBE
State: optimized geometry Values from VASP.

Quantum ESPRESSO input file:
```
&SYSTEM
  ibrav = 0, nat = 24, ntyp = 4
/
ATOMIC_SPECIES
Pb 207.20 Pb.upf
Ag 107.87 Ag.upf
Y 88.91 Y.upf
Au 196.97 Au.upf
ATOMIC_POSITIONS crystal
Pb 0.309 0.500 0.937
Ag 0.500 0.500 0.500
Pb 0.313 0.000 0.439
Y 0.938 0.000 0.311
Au 0.750 0.500 0.250
Pb 0.563 0.000 0.188
Y 0.684 0.500 0.062
Y 0.192 0.000 0.064
Ag 0.250 0.500 0.750
Pb 0.816 0.000 0.939
Au 0.750 0.000 0.750
Y 0.932 0.500 0.810
Pb 0.812 0.500 0.439
Y 0.443 0.000 0.814
Pb 0.559 0.500 0.686
Y 0.689 0.000 0.564
Y 0.437 0.500 0.312
Au 0.500 0.000 0.000
Y 0.186 0.500 0.562
Au 0.250 0.000 0.250
Ag 0.999 0.000 0.499
Ag 0.000 0.500 0.000
Pb 0.062 0.500 0.186
Pb 0.066 0.000 0.687
CELL_PARAMETERS angstrom
8.390 0.000 0.000
0.000 4.842 0.000
-2.768 0.000 15.814
```

Mass density in g/cm3: 9.276
M_tot in μB per cell: 0.00
Electronic total energy in eV per cell: -118.8
Symmetry: Pm (6)

=====

Entry 12:
Material: Ag5Pd2Au
Method: DFT, PBE
State: optimized geometry Values from VASP.

Quantum ESPRESSO input file:
```
&SYSTEM
  ibrav = 0, nat = 16, ntyp = 3
/
ATOMIC_SPECIES
Ag 107.87 Ag.upf
Pd 106.42 Pd.upf
Au 196.97 Au.upf
ATOMIC_POSITIONS crystal
Ag 0.254 0.374 0.500
Ag 0.996 0.750 0.000
Pd 0.746 0.876 0.500
Ag 0.746 0.626 0.500
Ag 0.504 0.250 0.000
Ag 0.000 0.000 0.000
Ag 0.246 0.874 0.500
Ag 0.496 0.750 0.000
Pd 0.254 0.124 0.500
Au 0.000 0.500 0.000
Au 0.500 0.000 0.000
Pd 0.246 0.624 0.500
Ag 0.754 0.126 0.500
Ag 0.500 0.500 0.000
Ag 0.004 0.250 0.000
Pd 0.754 0.376 0.500
CELL_PARAMETERS angstrom
5.746 0.000 0.000
0.000 11.503 0.000
0.000 0.000 4.114
```

Mass density in g/cm3: 11.592
Energy relative to the elements in eV/atom: -0.074
Symmetry: Pbam (55)